1.
First-principles (PBE) data for crystalline SrNd5Tl4 at its relaxed geometry, as listed in Alexandria.

Lattice parameters (Å, degrees): 3.8549 3.8549 22.0512 90.00 90.00 90.00
Last column: nearest neighbours and their distance in Å.
Element x y z (fractional)
Sr 0.0000 0.0000 0.0000  4 Sr 3.85, 8 Nd 4.07
Nd 0.5000 0.5000 0.1372  4 Tl 3.35
Nd 0.5000 0.5000 0.3185  8 Tl 3.38-3.41
Nd 0.5000 0.5000 0.5000  8 Tl 3.38
Nd 0.5000 0.5000 0.6815  8 Tl 3.38-3.41
Nd 0.5000 0.5000 0.8628  4 Tl 3.35
Tl 0.0000 0.0000 0.2253  8 Nd 3.35-3.41
Tl 0.0000 0.0000 0.4092  8 Nd 3.38
Tl 0.0000 0.0000 0.5908  8 Nd 3.38
Tl 0.0000 0.0000 0.7747  8 Nd 3.35-3.41

Calculated values
Relative energy among the computed polymorphs ... 0.000 eV/atom
Space group ... No. 123
DFT formation energy ... -0.27 eV/atom



2.
First-principles (PBE) data for crystalline PmTlSe2O6 at its relaxed geometry, as listed in Alexandria.

Lattice parameters (Å, degrees): 6.9382 6.9382 7.9661 102.86 102.86 100.47
Last column: nearest neighbours and their distance in Å.
Element x y z (fractional)
Pm 0.0509 0.9491 0.7500  8 O 2.42-2.54
Pm 0.9491 0.0509 0.2500  8 O 2.42-2.54
Tl 0.3384 0.6616 0.2500  6 O 2.84-3.10
Tl 0.6616 0.3384 0.7500  6 O 2.84-3.10
Se 0.1668 0.4181 0.7032  3 O 1.72-1.76
Se 0.4181 0.1668 0.2032  3 O 1.72-1.76
Se 0.5819 0.8332 0.7968  3 O 1.72-1.76
Se 0.8332 0.5819 0.2968  3 O 1.72-1.76
O 0.0198 0.8025 0.4328  1 Se 1.76
O 0.0272 0.5947 0.7448  1 Se 1.72
O 0.1975 0.9802 0.0672  1 Se 1.76
O 0.2074 0.3272 0.8888  1 Se 1.72
O 0.3272 0.2074 0.3888  1 Se 1.72
O 0.4053 0.9728 0.7552  1 Se 1.72
O 0.5947 0.0272 0.2448  1 Se 1.72
O 0.6728 0.7926 0.6112  1 Se 1.72
O 0.7926 0.6728 0.1112  1 Se 1.72
O 0.8025 0.0198 0.9328  1 Se 1.76
O 0.9728 0.4053 0.2552  1 Se 1.72
O 0.9802 0.1975 0.5672  1 Se 1.76

Calculated values
Space group ... No. 15
Formation energy from raw total energies ... -1562 meV per atom



3.
First-principles (PBE) data for crystalline Ho2Tm4Sc3 at its relaxed geometry, as listed in Alexandria.

Lattice parameters (Å, degrees): 9.1663 9.1663 6.1611 93.12 93.12 89.55
Last column: nearest neighbours and their distance in Å.
Element x y z (fractional)
Ho 0.1543 0.2728 0.0707  3 Sc 3.08-3.26, 4 Tm 3.27-3.41, 2 Ho 3.44
Ho 0.2728 0.1543 0.5707  3 Sc 3.08-3.26, 4 Tm 3.27-3.41, 2 Ho 3.44
Ho 0.7272 0.8457 0.4293  3 Sc 3.08-3.26, 4 Tm 3.27-3.41, 2 Ho 3.44
Ho 0.8457 0.7272 0.9293  3 Sc 3.08-3.26, 4 Tm 3.27-3.41, 2 Ho 3.44
Tm 0.0576 0.6881 0.3840  3 Sc 3.26-3.43, 2 Ho 3.35-3.36, 3 Tm 3.39-3.57
Tm 0.1925 0.5958 0.8814  3 Sc 3.26-3.47, 2 Ho 3.27-3.41, 4 Tm 3.30-3.57
Tm 0.3119 0.9424 0.1160  3 Sc 3.26-3.43, 2 Ho 3.35-3.36, 3 Tm 3.39-3.57
Tm 0.4042 0.8075 0.6186  3 Sc 3.26-3.47, 2 Ho 3.27-3.41, 4 Tm 3.30-3.57
Tm 0.5958 0.1925 0.3814  3 Sc 3.26-3.47, 2 Ho 3.27-3.41, 4 Tm 3.30-3.57
Tm 0.6881 0.0576 0.8840  3 Sc 3.26-3.43, 2 Ho 3.35-3.36, 3 Tm 3.39-3.57
Tm 0.8075 0.4042 0.1186  3 Sc 3.26-3.47, 2 Ho 3.27-3.41, 4 Tm 3.30-3.57
Tm 0.9424 0.3119 0.6160  3 Sc 3.26-3.43, 2 Ho 3.35-3.36, 3 Tm 3.39-3.57
Sc 0.0365 0.9635 0.7500  2 Ho 3.08, 2 Sc 3.22, 4 Tm 3.30-3.43
Sc 0.3448 0.4773 0.4098  2 Sc 3.02-3.15, 2 Ho 3.19-3.26, 2 Tm 3.26
Sc 0.4773 0.3448 0.9098  2 Sc 3.02-3.15, 2 Ho 3.19-3.26, 2 Tm 3.26
Sc 0.5227 0.6552 0.0902  2 Sc 3.02-3.15, 2 Ho 3.19-3.26, 2 Tm 3.26
Sc 0.6552 0.5227 0.5902  2 Sc 3.02-3.15, 2 Ho 3.19-3.26, 2 Tm 3.26
Sc 0.9635 0.0365 0.2500  2 Ho 3.08, 2 Sc 3.22, 4 Tm 3.30-3.43

Calculated values
Relative energy among the computed polymorphs ... 0.000 eV/atom
Space group ... No. 15
DFT formation energy ... 0.09 eV/atom



4.
First-principles (PBE) data for crystalline RbTeF2 at its relaxed geometry, as listed in Alexandria.

Lattice parameters (Å, degrees): 7.7256 7.7256 7.7256 30.10 30.10 30.10
Last column: nearest neighbours and their distance in Å.
Element x y z (fractional)
Rb 0.0000 0.0000 0.0000  6 F 2.77
Te 0.5000 0.5000 0.5000  2 F 2.16
F 0.4021 0.4021 0.4021  1 Te 2.16
F 0.5979 0.5979 0.5979  1 Te 2.16

Calculated values
Relative energy among the computed polymorphs ... 0.000 eV/atom
Space group ... No. 166
Formation energy from raw total energies ... -1848 meV per atom



5.
First-principles (PBE) data for crystalline LaOsPt2 at its relaxed geometry, as listed in Alexandria.

Lattice parameters (Å, degrees): 5.1408 5.1408 5.1408 131.25 131.25 71.42
Last column: nearest neighbours and their distance in Å.
Element x y z (fractional)
La 0.0000 0.0000 0.0000  8 Pt 2.98, 4 Os 3.00
Os 0.5000 0.5000 0.0000  8 Pt 2.98, 4 La 3.00
Pt 0.2500 0.7500 0.5000  4 La 2.98, 4 Os 2.98, 4 Pt 3.00
Pt 0.7500 0.2500 0.5000  4 La 2.98, 4 Os 2.98, 4 Pt 3.00

Calculated values
Relative energy among the computed polymorphs ... 0.349 eV/atom
Space group ... No. 139
DFT formation energy ... -0.07 eV/atom



6.
First-principles (PBE) data for crystalline Np2URe at its relaxed geometry, as listed in Alexandria.

Lattice parameters (Å, degrees): 8.2072 8.2072 8.2072 24.65 24.65 24.65
Last column: nearest neighbours and their distance in Å.
Element x y z (fractional)
Np 0.1029 0.1029 0.1029  1 Re 2.46, 3 U 2.53
Np 0.8971 0.8971 0.8971  1 Re 2.46, 3 U 2.53
U 0.5000 0.5000 0.5000  6 Np 2.53
Re 0.0000 0.0000 0.0000  2 Np 2.46

Calculated values
Space group ... No. 166
DFT formation energy ... 1.08 eV/atom



7.
First-principles (PBE) data for crystalline Ti2HW at its relaxed geometry, as listed in Alexandria.

Lattice parameters (Å, degrees): 3.0264 3.0264 6.1367 90.00 90.00 90.00
Last column: nearest neighbours and their distance in Å.
Element x y z (fractional)
Ti 0.0000 0.0000 0.2362  4 H 2.58, 4 W 2.68
Ti 0.0000 0.0000 0.7638  4 H 2.58, 4 W 2.68
H 0.5000 0.5000 0.0000  8 Ti 2.58
W 0.5000 0.5000 0.5000  8 Ti 2.68

Calculated values
Relative energy among the computed polymorphs ... 0.347 eV/atom
Space group ... No. 123



8.
First-principles (PBE) data for crystalline Ho4FeAg at its relaxed geometry, as listed in Alexandria.

Lattice parameters (Å, degrees): 7.4450 7.4450 6.0528 98.73 98.73 111.10
Last column: nearest neighbours and their distance in Å.
Element x y z (fractional)
Ho 0.0632 0.7313 0.9613  2 Fe 2.66-2.69
Ho 0.2081 0.3684 0.5941  2 Fe 2.91-3.00, 2 Ag 3.12-3.14
Ho 0.2687 0.9368 0.5387  2 Fe 2.66-2.69
Ho 0.3684 0.2081 0.0941  2 Fe 2.91-3.00, 2 Ag 3.12-3.14
Ho 0.6316 0.7919 0.9059  2 Fe 2.91-3.00, 2 Ag 3.12-3.14
Ho 0.7313 0.0632 0.4613  2 Fe 2.66-2.69
Ho 0.7919 0.6316 0.4059  2 Fe 2.91-3.00, 2 Ag 3.12-3.14
Ho 0.9368 0.2687 0.0387  2 Fe 2.66-2.69
Fe 0.0016 0.9984 0.7500  6 Ho 2.66-2.91
Fe 0.9984 0.0016 0.2500  6 Ho 2.66-2.91
Ag 0.3714 0.6286 0.2500  8 Ho 3.06-3.28
Ag 0.6286 0.3714 0.7500  8 Ho 3.06-3.28

Calculated values
Space group ... No. 15
DFT formation energy ... -0.12 eV/atom



9.
First-principles (PBE) data for crystalline Ho2Pd13 at its relaxed geometry, as listed in Alexandria.

Lattice parameters (Å, degrees): 7.9234 7.9234 7.9234 55.29 55.29 55.29
Last column: nearest neighbours and their distance in Å.
Element x y z (fractional)
Ho 0.2415 0.2415 0.2415  6 Pd 2.67-2.90
Ho 0.7585 0.7585 0.7585  6 Pd 2.67-2.90
Pd 0.0000 0.0000 0.0000  12 Pd 2.67-2.74
Pd 0.0179 0.0179 0.6439  7 Pd 2.63-2.95, 1 Ho 2.67
Pd 0.0179 0.6439 0.0179  7 Pd 2.63-2.95, 1 Ho 2.67
Pd 0.2395 0.2395 0.6101  8 Pd 2.73-2.95, 1 Ho 2.90
Pd 0.2395 0.6101 0.2395  8 Pd 2.73-2.95, 1 Ho 2.90
Pd 0.3561 0.9821 0.9821  7 Pd 2.63-2.95, 1 Ho 2.67
Pd 0.3899 0.7605 0.7605  8 Pd 2.73-2.95, 1 Ho 2.90
Pd 0.6101 0.2395 0.2395  8 Pd 2.73-2.95, 1 Ho 2.90
Pd 0.6439 0.0179 0.0179  7 Pd 2.63-2.95, 1 Ho 2.67
Pd 0.7605 0.3899 0.7605  8 Pd 2.73-2.95, 1 Ho 2.90
Pd 0.7605 0.7605 0.3899  8 Pd 2.73-2.95, 1 Ho 2.90
Pd 0.9821 0.3561 0.9821  7 Pd 2.63-2.95, 1 Ho 2.67
Pd 0.9821 0.9821 0.3561  7 Pd 2.63-2.95, 1 Ho 2.67

Calculated values
Space group ... No. 166
DFT formation energy ... -0.02 eV/atom



10.
First-principles (PBE) data for crystalline SrRuCl at its relaxed geometry, as listed in Alexandria.

Lattice parameters (Å, degrees): 4.7295 4.7295 4.7295 60.00 60.00 60.00
Last column: nearest neighbours and their distance in Å.
Element x y z (fractional)
Sr 0.0000 0.0000 0.0000  4 Cl 2.90
Ru 0.5000 0.5000 0.5000  4 Cl 2.90
Cl 0.2500 0.2500 0.2500  4 Ru 2.90, 4 Sr 2.90

Calculated values
Relative energy among the computed polymorphs ... 0.342 eV/atom
Space group ... No. 216
Formation energy from raw total energies ... 269 meV per atom



11.
First-principles (PBE) data for crystalline SrSmCdCu at its relaxed geometry, as listed in Alexandria.

Lattice parameters (Å, degrees): 5.3668 5.3668 5.3668 60.00 60.00 60.00
Last column: nearest neighbours and their distance in Å.
Element x y z (fractional)
Sr 0.0000 0.0000 0.0000  4 Cd 3.29, 4 Cu 3.29
Sm 0.5000 0.5000 0.5000  4 Cd 3.29, 4 Cu 3.29
Cd 0.7500 0.7500 0.7500  4 Sr 3.29, 4 Sm 3.29
Cu 0.2500 0.2500 0.2500  4 Sm 3.29, 4 Sr 3.29

Calculated values
Space group ... No. 216
DFT formation energy ... -0.11 eV/atom



12.
First-principles (PBE) data for crystalline SrCaSbPd at its relaxed geometry, as listed in Alexandria.

Lattice parameters (Å, degrees): 5.3668 5.3668 5.3668 60.00 60.00 60.00
Last column: nearest neighbours and their distance in Å.
Element x y z (fractional)
Sr 0.0000 0.0000 0.0000  4 Sb 3.29, 4 Pd 3.29
Ca 0.5000 0.5000 0.5000  4 Sb 3.29, 4 Pd 3.29
Sb 0.7500 0.7500 0.7500  4 Ca 3.29, 4 Sr 3.29
Pd 0.2500 0.2500 0.2500  4 Ca 3.29, 4 Sr 3.29

Calculated values
Space group ... No. 216
Formation energy from raw total energies ... -744 meV per atom



DOS(E_F) readings, ordered: 0.949 0.000 1.244 0.527 1.203 2.357 1.251 1.047 1.214 1.825 0.815 0.430 states/eV per atom
Mass density readings, ordered: 8.2 5.7 7.3 4.1 15.9 17.6 8.3 9.1 9.1 5.0 6.3 5.4 g/cm³